Entry 1:
Ac2ZnRh: optimized geometry, PBE.

extended XYZ file:
```
4
Lattice="4.3517 0.0000 0.0000 2.1758 3.7687 0.0000 2.1758 1.2562 7.7771" Properties=species:S:1:pos:R:3 pbc="T T T"
Zn 4.3517 2.5124 3.8627
Rh 4.3517 2.5125 0.0339
Ac 2.1758 1.2562 6.1421
Ac 2.1758 1.2562 1.6269
```

=====

Entry 2:
Ac2ZnRh: optimized geometry, PBE.

extended XYZ file:
```
8
Lattice="-1.7466 3.8354 0.4141 -4.0318 -2.3156 4.4422 7.6067 3.0531 3.8045" Properties=species:S:1:pos:R:3 pbc="T T T"
Rh 3.6900 2.3961 4.1962
Rh -1.8616 2.1768 4.4647
Zn 2.1314 3.8226 6.0619
Zn -0.3030 0.7503 2.5989
Ac 1.1910 3.7249 3.0013
Ac -2.9439 -0.5940 3.9111
Ac 0.6373 0.8480 5.6596
Ac 4.7722 5.1669 4.7498
```

=====

Entry 3:
10
Lattice="-1.3012 -3.3043 -4.1915 6.6107 2.6047 -4.1043 3.7909 -5.6125 3.2473" Properties=species:S:1:pos:R:3 comment="PBE Ac3ZnRh, optimized geometry" de_polymorph_mev_per_atom=105 pbc="T T T"
Ac 7.4644 -3.3406 0.0052
Ac 5.6892 -0.3322 -5.4160
Ac 2.5767 -1.8313 0.3349
Ac 1.5524 -0.9494 -3.6439
Ac 8.2294 -2.8939 -4.1803
Ac 4.4411 -3.0499 -2.8840
Zn 6.4812 -0.3115 -2.0796
Zn 4.1109 -5.0871 2.4238
Rh 3.9476 -0.1651 -1.4014
Rh 6.8256 -4.6573 -2.3592

=====

Entry 4:
Ac3Zn2Rh3: optimized geometry, PBE.

extended XYZ file:
```
16
Lattice="4.1737 0.0000 0.0000 -2.0868 6.2533 0.0000 0.0000 0.0000 14.6717" Properties=species:S:1:pos:R:3 pbc="T T T"
Ac 2.0868 5.3541 1.6399
Ac 0.0000 0.8992 13.0318
Ac 2.0868 1.9667 3.6679
Ac 2.0868 5.3541 5.6959
Ac 0.0000 4.2866 11.0037
Ac 0.0000 0.8992 8.9757
Rh 0.0000 4.9449 14.0290
Rh 0.0000 4.1046 3.6679
Rh 2.0868 1.3083 6.6932
Rh 2.0868 2.1487 11.0037
Rh 2.0868 1.3083 0.6426
Rh 0.0000 4.9449 7.9784
Zn 0.0000 2.8133 1.0852
Zn 2.0868 3.4399 8.4210
Zn 2.0868 3.4399 13.5865
Zn 0.0000 2.8133 6.2506
```

=====

Entry 5:
8
Lattice="-2.9838 -2.9200 0.0505 3.8498 -1.0191 -4.0530 4.1838 -4.1884 5.0271" Properties=species:S:1:pos:R:3 comment="PBE AcZn2Rh, optimized geometry" de_polymorph_mev_per_atom=3 pbc="T T T"
Ac 1.6290 -4.6887 -2.2625
Ac 3.4208 -3.4388 3.2871
Rh 2.9915 -6.0160 1.4971
Rh 2.0583 -2.1115 -0.4726
Zn 1.1468 -4.1405 0.9459
Zn -0.4923 -2.4996 -1.0236
Zn 5.5420 -5.6278 2.0482
Zn 3.9029 -3.9869 0.0787

=====

Entry 6:
Ac12Zn3Rh5: optimized geometry, PBE.

extended XYZ file:
```
80
Lattice="-11.5742 -4.5279 -9.5834 13.0925 -7.9114 -3.5072 -4.0666 -2.9440 14.8695" Properties=species:S:1:pos:R:3 pbc="T T T"
Rh 6.8476 -7.6035 1.7477
Rh -2.0333 -1.4720 7.4347
Rh -5.7537 -4.8949 7.1199
Rh -1.5755 -4.0438 -2.6119
Rh 6.5463 -3.9557 -1.7536
Rh 2.4463 -4.2688 1.2042
Rh -0.5255 -5.9387 5.5824
Rh -9.3959 -7.7798 0.0312
Rh 0.0000 0.0000 0.0000
Rh -0.9728 -11.3395 4.3908
Rh -10.6024 -6.9609 5.3849
Rh -5.7871 -2.2640 -4.7917
Rh -7.8204 -3.7360 2.6430
Rh 0.7592 -6.2197 -6.5453
Rh 8.0541 -8.4225 -3.6060
Rh -2.0228 -9.4446 -3.8035
Rh 3.2054 -10.4885 -5.3411
Rh -1.2741 -7.6917 0.8894
Rh 4.5130 -5.4277 5.6811
Rh -4.9946 -11.1146 0.5746
Ac -7.6373 -3.7152 -2.9681
Ac 3.0640 -12.3081 1.0181
Ac 0.6632 -5.1976 -3.7523
Ac -2.3129 -5.1127 -0.1712
Ac -1.2661 -8.3783 -6.2394
Ac -8.6184 -8.8205 4.8857
Ac 3.0991 -7.7303 -5.4976
Ac 2.2442 -11.0246 -10.5753
Ac -8.2441 -7.6263 -2.4775
Ac 1.5832 -6.8940 1.1220
Ac -3.8038 -3.5769 8.5704
Ac -4.1720 -9.5646 -8.7000
Ac 3.0119 -10.7905 -2.5998
Ac -3.9264 -4.4503 -4.0088
Ac 2.0134 -7.0159 5.3899
Ac -6.1574 -11.2836 3.0772
Ac -4.1315 -8.4893 0.6569
Ac -5.6123 -3.0753 0.7608
Ac -7.4594 -6.4579 1.4960
Ac -4.5617 -8.3674 -3.6110
Ac -2.2072 -6.5547 3.4763
Ac -11.9297 -6.6883 0.2106
Ac -7.4379 -8.1989 -6.2744
Ac -5.6474 -7.6531 7.2765
Ac -0.2353 -10.2706 1.9500
Ac 6.0702 -6.5628 -3.1068
Ac 4.1892 -11.0827 8.5208
Ac -3.2115 -10.1857 5.5311
Ac 9.3814 -8.6951 1.5683
Ac 1.2555 -11.8065 -6.7916
Ac 1.3781 -10.9331 5.7877
Ac -0.3410 -8.8286 -1.6974
Ac 1.6237 -5.8187 10.4789
Ac -5.5602 -4.5929 4.3786
Ac 3.6091 -4.0997 -1.2983
Ac -0.6259 -3.1793 5.4450
Ac 5.0891 -11.6681 4.7470
Ac -12.9584 -7.3816 4.0009
Ac 4.9111 -8.9254 0.2828
Ac 5.6958 -7.7570 4.2563
Ac -3.0048 -12.9730 0.0946
Ac 4.8896 -7.1844 8.0533
Ac -4.7925 -4.3587 12.3542
Ac 10.4101 -8.0017 -2.2220
Ac 0.4565 -2.4104 1.6843
Ac -6.7375 -4.3007 -6.7420
Ac -1.2822 -7.0050 8.0183
Ac -1.9224 -12.2040 -3.6661
Zn -0.8164 -10.2635 -9.1572
Zn 6.9592 -9.6965 6.8854
Zn -1.7319 -5.1198 10.9361
Zn 2.8258 -7.3786 -2.0684
Zn -2.7820 -3.2249 2.7418
Zn 0.2337 -12.1584 -0.9629
Zn 2.9374 -9.4715 3.0692
Zn 1.7310 -8.6526 8.4229
Zn -5.4857 -5.9118 -1.2904
Zn -4.2793 -6.7307 -6.6441
Zn -9.5075 -5.6869 -5.1065
Zn -5.3741 -8.0047 3.8473
```

=====

Entry 7:
14
Lattice="-3.7694 0.8672 -1.8762 -2.6605 -6.5210 2.3312 -1.1546 3.6670 8.9397" Properties=species:S:1:pos:R:3 comment="PBE Ac2Zn2Rh3, optimized geometry" de_polymorph_mev_per_atom=0 pbc="T T T"
Zn -4.5449 -1.6828 3.4285
Zn -2.0515 2.1176 5.1005
Zn -5.5330 -4.1045 4.2942
Zn -3.0396 -0.3041 5.9663
Ac -1.5863 -0.3874 3.0080
Ac -2.3715 -4.3833 2.7386
Ac -5.9982 -1.5994 6.3867
Ac -5.2130 2.3964 6.6561
Rh -3.3849 -3.0160 5.4067
Rh -3.4040 -1.8610 1.0538
Rh -5.1366 -2.4693 9.1787
Rh -4.1996 1.0291 3.9880
Rh -4.1805 -0.1259 8.3409
Rh -2.4479 0.4825 0.2160

=====

Entry 8:
Ac5Zn5Rh2: optimized geometry, PBE.

extended XYZ file:
```
12
Lattice="-3.3529 -0.2848 -2.6784 1.7601 -7.0285 -4.9090 -6.1079 -5.2300 4.7492" Properties=species:S:1:pos:R:3 pbc="T T T"
Zn -3.7668 -5.0612 1.8006
Zn -3.0935 -3.3495 -2.6772
Zn -3.9339 -7.4820 -4.6387
Zn 0.0000 0.0000 0.0000
Zn -4.6072 -9.1937 -0.1609
Ac -6.3279 -7.1007 1.7705
Ac -2.7971 -2.2571 0.2885
Ac -4.9037 -10.2862 -3.1266
Ac -1.3728 -5.4425 -4.6087
Ac -3.8504 -6.2716 -1.4191
Rh -1.0918 -4.5751 -1.5998
Rh -6.6089 -7.9681 -1.2384
```

=====

Entry 9:
10
Lattice="-0.7736 -2.1080 -3.9617 4.1095 -1.9478 0.2346 -3.7585 -7.3689 4.6549" Properties=species:S:1:pos:R:3 comment="PBE AcZn2Rh2, optimized geometry" de_polymorph_mev_per_atom=29 pbc="T T T"
Zn -0.8191 -9.5508 1.3176
Zn 0.1837 -7.5847 0.0756
Zn -0.6064 -3.8400 0.8522
Zn 0.3964 -1.8740 -0.3898
Ac -1.9854 -6.5400 2.5600
Ac 1.5628 -4.8847 -1.6321
Rh 2.8895 -1.9879 -0.8138
Rh -1.4329 -5.7524 -0.5859
Rh 1.0103 -5.6723 1.5137
Rh 0.4463 -2.0680 -2.9133

=====

Entry 10:
9
Lattice="-2.3355 2.1139 2.9523 1.1693 -5.4177 1.6475 7.4168 3.6793 3.2329" Properties=species:S:1:pos:R:3 comment="PBE Ac3Zn2Rh4, optimized geometry" de_polymorph_mev_per_atom=0 pbc="T T T"
Ac 1.6353 1.3818 3.4610
Ac 0.0000 0.0000 0.0000
Ac 4.6153 -1.0064 4.3717
Rh -0.5077 -0.5183 3.1262
Rh 6.7583 0.8938 4.7065
Rh 4.7418 1.5545 2.6382
Rh 1.5088 -1.1790 5.1945
Zn 1.5741 -2.0105 2.6848
Zn 4.6765 2.3860 5.1479

=====

Entry 11:
5
Lattice="5.7521 0.0000 0.0000 0.0000 5.7521 0.0000 0.0000 0.0000 5.7521" Properties=species:S:1:pos:R:3 comment="PBE Ac3ZnRh, optimized geometry" de_polymorph_mev_per_atom=204 pbc="T T T"
Rh 0.0000 0.0000 0.0000
Zn 2.8760 2.8760 2.8760
Ac 2.8760 0.0000 0.0000
Ac 0.0000 2.8760 0.0000
Ac 0.0000 0.0000 2.8760

=====

Entry 12:
Ac2ZnRh: optimized geometry, PBE.

extended XYZ file:
```
4
Lattice="3.8158 0.0000 0.0000 0.0000 3.8158 0.0000 0.0000 0.0000 7.5872" Properties=species:S:1:pos:R:3 pbc="T T T"
Ac 0.0000 0.0000 1.7822
Ac 0.0000 0.0000 5.8050
Zn 1.9079 1.9079 3.7936
Rh 1.9079 1.9079 0.0000
```

=====

no.,total DFT energy (no corrections) (eV per atom)
1,-4.635
2,-4.701
3,-4.476
4,-5.204
5,-4.005
6,-4.729
7,-5.240
8,-3.873
9,-4.803
10,-5.520
11,-4.376
12,-4.612